[1]
An optimized crystal structure of NbV2Se4S2, computed with PBE.

Uncorrected formation energy   -0.818 eV per atom
DOS(E_F)   3.754 states/eV/f.u.

The structure in CIF format:
```
data_NbV2Se4S2
_cell_length_a 3.3475
_cell_length_b 3.3475
_cell_length_c 20.9046
_cell_angle_alpha 90.00
_cell_angle_beta 90.00
_cell_angle_gamma 120.00
_space_group_name_H-M_alt 'P 3 m 1'
_space_group_IT_number 156
_space_group_name_Hall 'P 3 -2"'
loop_
_atom_site_label
_atom_site_type_symbol
_atom_site_fract_x
_atom_site_fract_y
_atom_site_fract_z
_atom_site_occupancy
Nb1 Nb 0.0000 0.0000 0.0000 1
V1 V 0.0000 0.0000 0.6529 1
V2 V 0.6667 0.3333 0.3232 1
Se1 Se 0.0000 0.0000 0.2467 1
Se2 Se 0.0000 0.0000 0.3997 1
Se3 Se 0.6667 0.3333 0.5763 1
Se4 Se 0.6667 0.3333 0.7294 1
S1 S 0.6667 0.3333 0.0751 1
S2 S 0.6667 0.3333 0.9249 1
```

=====

[2]
An optimized crystal structure of CrCdMo2, computed with PBE.

Energy relative to the elements   111 kJ/mol of formula units
DOS(E_F)   2.667 states/eV/f.u.

The structure in CIF format:
```
data_CrCdMo2
_cell_length_a 3.1458
_cell_length_b 4.4494
_cell_length_c 9.0806
_cell_angle_alpha 90.00
_cell_angle_beta 90.00
_cell_angle_gamma 90.00
_space_group_name_H-M_alt 'C m m m'
_space_group_IT_number 65
_space_group_name_Hall '-C 2 2'
loop_
_atom_site_label
_atom_site_type_symbol
_atom_site_fract_x
_atom_site_fract_y
_atom_site_fract_z
_atom_site_occupancy
Cr1 Cr 0.0000 0.0000 0.0000 1
Cd1 Cd 0.0000 0.0000 0.5000 1
Mo1 Mo 0.0000 0.5000 0.2203 1
```

=====

[3]
An optimized crystal structure of AcCu4, computed with PBE.

Energy relative to the elements   738 kJ/mol of formula units
DOS(E_F)   1.944 states/eV/f.u.
Energy above the most stable polymorph in this dataset   1636.0 meV/atom

The structure in CIF format:
```
data_AcCu4
_cell_length_a 5.4714
_cell_length_b 5.4714
_cell_length_c 5.4714
_cell_angle_alpha 90.00
_cell_angle_beta 90.00
_cell_angle_gamma 90.00
_space_group_name_H-M_alt 'P m -3 m'
_space_group_IT_number 221
_space_group_name_Hall '-P 4 2 3'
loop_
_atom_site_label
_atom_site_type_symbol
_atom_site_fract_x
_atom_site_fract_y
_atom_site_fract_z
_atom_site_occupancy
Ac1 Ac 0.0000 0.0000 0.0000 1
Cu1 Cu 0.0000 0.0000 0.5000 1
Cu2 Cu 0.5000 0.5000 0.5000 1
```

=====

[4]
An optimized crystal structure of CsNdTe2, computed with PBE.

Uncorrected formation energy   -1.238 eV per atom
DOS(E_F)   0.736 states/eV/f.u.

The structure in CIF format:
```
data_CsNdTe2
_cell_length_a 4.0293
_cell_length_b 4.0293
_cell_length_c 9.1238
_cell_angle_alpha 90.00
_cell_angle_beta 90.00
_cell_angle_gamma 90.00
_space_group_name_H-M_alt 'P 4/m m m'
_space_group_IT_number 123
_space_group_name_Hall '-P 4 2'
loop_
_atom_site_label
_atom_site_type_symbol
_atom_site_fract_x
_atom_site_fract_y
_atom_site_fract_z
_atom_site_occupancy
Cs1 Cs 0.0000 0.0000 0.0000 1
Nd1 Nd 0.0000 0.0000 0.5000 1
Te1 Te 0.5000 0.5000 0.3004 1
```

=====

[5]
An optimized crystal structure of Hf2AlPt, computed with PBE.

Energy relative to the elements   -238 kJ/mol of formula units
DOS(E_F)   3.483 states/eV/f.u.

The structure in CIF format:
```
data_Hf2AlPt
_cell_length_a 3.5204
_cell_length_b 3.5204
_cell_length_c 5.9901
_cell_angle_alpha 90.00
_cell_angle_beta 90.00
_cell_angle_gamma 90.00
_space_group_name_H-M_alt 'P 4/m m m'
_space_group_IT_number 123
_space_group_name_Hall '-P 4 2'
loop_
_atom_site_label
_atom_site_type_symbol
_atom_site_fract_x
_atom_site_fract_y
_atom_site_fract_z
_atom_site_occupancy
Hf1 Hf 0.0000 0.0000 0.2465 1
Al1 Al 0.5000 0.5000 0.5000 1
Pt1 Pt 0.5000 0.5000 0.0000 1
```

=====

[6]
An optimized crystal structure of RhClF2, computed with PBE.

Uncorrected formation energy   -0.986 eV per atom
DOS(E_F)   0.924 states/eV/f.u.
Energy above the most stable polymorph in this dataset   0.0 meV/atom

The structure in CIF format:
```
data_RhClF2
_cell_length_a 3.5453
_cell_length_b 12.7845
_cell_length_c 6.0055
_cell_angle_alpha 90.00
_cell_angle_beta 104.37
_cell_angle_gamma 90.00
_space_group_name_H-M_alt 'C 1 2/c 1'
_space_group_IT_number 15
_space_group_name_Hall '-C 2yc'
loop_
_atom_site_label
_atom_site_type_symbol
_atom_site_fract_x
_atom_site_fract_y
_atom_site_fract_z
_atom_site_occupancy
Rh1 Rh 0.0000 0.0624 0.2500 1
Cl1 Cl 0.0000 0.3194 0.7500 1
F1 F 0.2326 0.0669 0.5910 1
```

=====

[7]
An optimized crystal structure of Ba3N, computed with PBE.

Uncorrected formation energy   -0.304 eV per atom
DOS(E_F)   3.000 states/eV/f.u.
Energy above the most stable polymorph in this dataset   0.0 meV/atom

The structure in CIF format:
```
data_Ba3N
_cell_length_a 7.7363
_cell_length_b 7.7363
_cell_length_c 7.0977
_cell_angle_alpha 90.00
_cell_angle_beta 90.00
_cell_angle_gamma 120.00
_space_group_name_H-M_alt 'P 63/m c m'
_space_group_IT_number 193
_space_group_name_Hall '-P 6c 2'
loop_
_atom_site_label
_atom_site_type_symbol
_atom_site_fract_x
_atom_site_fract_y
_atom_site_fract_z
_atom_site_occupancy
Ba1 Ba 0.0000 0.2722 0.2500 1
N1 N 0.0000 0.0000 0.0000 1
```

=====

[8]
An optimized crystal structure of Li2SnAu, computed with PBE.

Energy relative to the elements   -94 kJ/mol of formula units
DOS(E_F)   1.593 states/eV/f.u.

The structure in CIF format:
```
data_Li2SnAu
_cell_length_a 7.5119
_cell_length_b 7.5119
_cell_length_c 5.6700
_cell_angle_alpha 90.00
_cell_angle_beta 90.00
_cell_angle_gamma 90.00
_space_group_name_H-M_alt 'I -4 2 d'
_space_group_IT_number 122
_space_group_name_Hall 'I -4 2bw'
loop_
_atom_site_label
_atom_site_type_symbol
_atom_site_fract_x
_atom_site_fract_y
_atom_site_fract_z
_atom_site_occupancy
Li1 Li 0.2174 0.2500 0.1250 1
Sn1 Sn 0.0000 0.0000 0.5000 1
Au1 Au 0.0000 0.0000 0.0000 1
```

=====

[9]
An optimized crystal structure of KSr2Ca, computed with PBE.

Energy relative to the elements   42 kJ/mol of formula units
DOS(E_F)   3.441 states/eV/f.u.
Energy above the most stable polymorph in this dataset   44.7 meV/atom

The structure in CIF format:
```
data_KSr2Ca
_cell_length_a 6.8843
_cell_length_b 6.8843
_cell_length_c 4.5358
_cell_angle_alpha 90.00
_cell_angle_beta 90.00
_cell_angle_gamma 90.00
_space_group_name_H-M_alt 'P 4/m m m'
_space_group_IT_number 123
_space_group_name_Hall '-P 4 2'
loop_
_atom_site_label
_atom_site_type_symbol
_atom_site_fract_x
_atom_site_fract_y
_atom_site_fract_z
_atom_site_occupancy
K1 K 0.0000 0.0000 0.0000 1
Sr1 Sr 0.0000 0.5000 0.5000 1
Ca1 Ca 0.5000 0.5000 0.0000 1
```

=====

[10]
An optimized crystal structure of Rb2AlTeI6, computed with PBE.

Uncorrected formation energy   -0.706 eV per atom
DOS(E_F)   6.123 states/eV/f.u.

The structure in CIF format:
```
data_Rb2AlTeI6
_cell_length_a 8.4546
_cell_length_b 8.4546
_cell_length_c 12.3913
_cell_angle_alpha 90.00
_cell_angle_beta 90.00
_cell_angle_gamma 90.00
_space_group_name_H-M_alt 'I 4/m m m'
_space_group_IT_number 139
_space_group_name_Hall '-I 4 2'
loop_
_atom_site_label
_atom_site_type_symbol
_atom_site_fract_x
_atom_site_fract_y
_atom_site_fract_z
_atom_site_occupancy
Rb1 Rb 0.0000 0.5000 0.2500 1
Al1 Al 0.0000 0.0000 0.0000 1
Te1 Te 0.0000 0.0000 0.5000 1
I1 I 0.0000 0.0000 0.2236 1
I2 I 0.2412 0.2412 0.0000 1
```

=====

[11]
An optimized crystal structure of Ti2AlAg2, computed with PBE.

Energy relative to the elements   54 kJ/mol of formula units
DOS(E_F)   2.388 states/eV/f.u.
Energy above the most stable polymorph in this dataset   0.0 meV/atom

The structure in CIF format:
```
data_Ti2AlAg2
_cell_length_a 7.3449
_cell_length_b 7.3449
_cell_length_c 3.2955
_cell_angle_alpha 90.00
_cell_angle_beta 90.00
_cell_angle_gamma 90.00
_space_group_name_H-M_alt 'P 4/m b m'
_space_group_IT_number 127
_space_group_name_Hall '-P 4 2ab'
loop_
_atom_site_label
_atom_site_type_symbol
_atom_site_fract_x
_atom_site_fract_y
_atom_site_fract_z
_atom_site_occupancy
Ti1 Ti 0.1680 0.3320 0.0000 1
Al1 Al 0.0000 0.0000 0.5000 1
Ag1 Ag 0.1318 0.6318 0.5000 1
```

=====

[12]
An optimized crystal structure of Pr8Ge3PS4, computed with PBE.

Uncorrected formation energy   -1.541 eV per atom
DOS(E_F)   4.542 states/eV/f.u.

The structure in CIF format:
```
data_Pr8Ge3PS4
_cell_length_a 8.4505
_cell_length_b 8.4505
_cell_length_c 20.6532
_cell_angle_alpha 90.00
_cell_angle_beta 90.00
_cell_angle_gamma 120.00
_space_group_name_H-M_alt 'R -3 m'
_space_group_IT_number 166
_space_group_name_Hall '-R 3 2"'
loop_
_atom_site_label
_atom_site_type_symbol
_atom_site_fract_x
_atom_site_fract_y
_atom_site_fract_z
_atom_site_occupancy
Pr1 Pr 0.0000 0.0000 0.2492 1
Pr2 Pr 0.0024 0.5012 0.7492 1
Ge1 Ge 0.0000 0.5000 0.0000 1
P1 P 0.0000 0.0000 0.0000 1
S1 S 0.0000 0.0000 0.5000 1
S2 S 0.0000 0.5000 0.5000 1
```

=====

no.,size of the total moment (Bohr magnetons per cell)
1,2.0
2,0.0
3,0.0
4,0.0
5,0.0
6,0.0
7,0.0
8,0.0
9,0.0
10,0.0
11,2.0
12,0.0